# 1
Material: TbErMgIn
Method: DFT, PBE
State: relaxed

Values from the calculation:
E, eV per formula unit: -14.7
Space-group type: F-43m (216)
Magnetization, Bohr magnetons per cell: 0.01

Structure (POSCAR):
```
TbErMgIn
1.0
-0.942 3.330 4.008
-3.986 3.471 -0.322
-4.310 -0.632 3.010
Er In Mg Tb
1 1 1 1
Direct
0.000 0.000 0.000 Er
0.750 0.750 0.750 In
0.250 0.250 0.250 Mg
0.500 0.500 0.500 Tb
```

# 2
Material: ThReIr
Method: DFT, PBE
State: relaxed

Values from the calculation:
ΔE to the lowest computed polymorph, eV per formula unit: 0.00
DFT formation energy, eV per atom: 0.3599
Space-group type: F-43m (216)
Magnetization, Bohr magnetons per cell: 0.01

Structure (POSCAR):
```
ThReIr
1.0
-0.138 -4.459 -0.912
-3.094 -1.633 -2.914
1.305 -1.530 -4.085
Ir Re Th
1 1 1
Direct
0.000 0.000 0.000 Ir
0.250 0.250 0.250 Re
0.500 0.500 0.500 Th
```

# 3
Material: YCuMoOs
Method: DFT, PBE
State: relaxed

Values from the calculation:
ΔE to the lowest computed polymorph, eV per formula unit: 0.00
DFT formation energy, eV per atom: 0.1879
Space-group type: F-43m (216)
Magnetization, Bohr magnetons per cell: 0.00

Structure (POSCAR):
```
YCuMoOs
1.0
3.212 0.288 3.196
0.376 3.767 2.507
-1.154 -0.071 4.391
Cu Mo Os Y
1 1 1 1
Direct
0.750 0.750 0.750 Cu
0.250 0.250 0.250 Mo
0.000 0.000 0.000 Os
0.500 0.500 0.500 Y
```

# 4
Material: BaAgNO
Method: DFT, PBE
State: relaxed

Values from the calculation:
ΔE to the lowest computed polymorph, eV per formula unit: 0.00
Space-group type: Pca2_1 (29)

Structure (POSCAR):
```
BaAgNO
1.0
-2.020 1.552 -5.171
-6.151 -0.954 2.116
-0.335 7.331 2.331
Ag Ba N O
4 4 4 4
Direct
0.023 0.094 0.384 Ag
0.523 0.406 0.384 Ag
0.023 0.594 0.616 Ag
0.523 0.906 0.616 Ag
0.009 0.563 0.183 Ba
0.509 0.937 0.183 Ba
0.009 0.063 0.817 Ba
0.509 0.437 0.817 Ba
0.700 0.674 0.491 N
0.200 0.826 0.491 N
0.700 0.174 0.509 N
0.200 0.326 0.509 N
0.471 0.549 0.138 O
0.971 0.951 0.138 O
0.471 0.049 0.862 O
0.971 0.451 0.862 O
```

# 5
Material: LuCoIrPb
Method: DFT, PBE
State: relaxed

Values from the calculation:
ΔE to the lowest computed polymorph, eV per formula unit: 0.00
Space-group type: F-43m (216)
Magnetization, Bohr magnetons per cell: 1.06

Structure (POSCAR):
```
LuCoIrPb
1.0
0.000 3.302 3.302
3.302 0.000 3.302
3.302 3.302 0.000
Co Ir Lu Pb
1 1 1 1
Direct
0.750 0.750 0.750 Co
0.250 0.250 0.250 Ir
0.500 0.500 0.500 Lu
0.000 0.000 0.000 Pb
```

# 6
Material: Nd3YHo2NiTe2
Method: DFT, PBE
State: relaxed

Values from the calculation:
E, eV per formula unit: -48.5
Space-group type: Amm2 (38)
Magnetization, Bohr magnetons per cell: 0.01

Structure (POSCAR):
```
Nd3YHo2NiTe2
1.0
4.015 0.000 0.000
0.000 7.358 4.239
0.000 -7.358 4.239
Ho Nd Ni Te Y
2 3 1 2 1
Direct
0.500 0.766 0.000 Ho
0.500 0.000 0.766 Ho
0.000 0.999 0.405 Nd
0.000 0.597 0.597 Nd
0.000 0.405 0.999 Nd
0.000 0.996 0.996 Ni
0.500 0.666 0.333 Te
0.500 0.333 0.666 Te
0.500 0.238 0.238 Y
```

# 7
Material: NaLaNiGe
Method: DFT, PBE
State: relaxed

Values from the calculation:
ΔE to the lowest computed polymorph, eV per formula unit: 0.52
Space-group type: F-43m (216)
Magnetization, Bohr magnetons per cell: 0.24

Structure (POSCAR):
```
NaLaNiGe
1.0
-2.628 -4.144 0.939
-4.331 0.295 2.472
-4.305 -0.824 -2.396
Ge La Na Ni
1 1 1 1
Direct
0.000 0.000 0.000 Ge
0.250 0.250 0.250 La
0.750 0.750 0.750 Na
0.500 0.500 0.500 Ni
```

# 8
Material: HfTlAuSe3
Method: DFT, PBE
State: relaxed

Values from the calculation:
ΔE to the lowest computed polymorph, eV per formula unit: 0.13
Space-group type: Pnma (62)
Magnetization, Bohr magnetons per cell: 0.02

Structure (POSCAR):
```
HfTlAuSe3
1.0
-9.691 -3.939 2.642
0.819 -3.287 -1.896
5.623 -5.643 12.213
Au Hf Se Tl
4 4 12 4
Direct
0.250 0.750 0.179 Au
0.750 0.750 0.321 Au
0.250 0.250 0.679 Au
0.750 0.250 0.821 Au
0.458 0.250 0.250 Hf
0.958 0.250 0.250 Hf
0.042 0.750 0.750 Hf
0.542 0.750 0.750 Hf
0.471 0.750 0.120 Se
0.022 0.750 0.128 Se
0.738 0.250 0.186 Se
0.238 0.250 0.314 Se
0.522 0.750 0.372 Se
0.971 0.750 0.380 Se
0.029 0.250 0.620 Se
0.478 0.250 0.628 Se
0.762 0.750 0.686 Se
0.262 0.750 0.814 Se
0.978 0.250 0.872 Se
0.529 0.250 0.880 Se
0.765 0.750 0.002 Tl
0.265 0.750 0.498 Tl
0.735 0.250 0.502 Tl
0.235 0.250 0.998 Tl
```

# 9
Material: DyYMg3Pd2
Method: DFT, PBE
State: relaxed

Values from the calculation:
E, eV per formula unit: -29.7
Space-group type: Amm2 (38)
Magnetization, Bohr magnetons per cell: 0.04

Structure (POSCAR):
```
DyYMg3Pd2
1.0
-2.300 1.178 -2.549
-8.325 -3.036 6.109
-7.739 0.947 7.420
Dy Mg Pd Y
1 3 2 1
Direct
0.000 0.173 0.173 Dy
0.000 0.000 0.000 Mg
0.500 0.425 0.425 Mg
0.500 0.575 0.575 Mg
0.500 0.294 0.294 Pd
0.500 0.705 0.705 Pd
0.000 0.829 0.829 Y
```

# 10
Material: Zn2Ge
Method: DFT, PBE
State: relaxed

Values from the calculation:
E, eV per formula unit: -6.6
Space-group type: Fd-3m (227)

Structure (POSCAR):
```
Zn2Ge
1.0
-2.451 -4.349 1.585
-3.893 -2.007 -2.872
0.707 -4.497 -2.591
Ge Zn
2 4
Direct
0.000 0.000 0.000 Ge
0.250 0.250 0.250 Ge
0.625 0.625 0.125 Zn
0.625 0.125 0.625 Zn
0.125 0.625 0.625 Zn
0.625 0.625 0.625 Zn
```

# 11
Material: NaTe3PdAu
Method: DFT, PBE
State: relaxed

Values from the calculation:
E, eV per formula unit: -21.1
Space-group type: Cmcm (63)

Structure (POSCAR):
```
NaTe3PdAu
1.0
-6.112 3.195 -2.053
4.055 -5.943 -0.073
-4.967 -3.504 9.333
Au Na Pd Te
2 2 2 6
Direct
0.907 0.093 0.250 Au
0.093 0.907 0.750 Au
0.247 0.753 0.250 Na
0.753 0.247 0.750 Na
0.500 0.500 0.000 Pd
0.500 0.500 0.500 Pd
0.867 0.133 0.015 Te
0.557 0.443 0.250 Te
0.867 0.133 0.485 Te
0.133 0.867 0.515 Te
0.443 0.557 0.750 Te
0.133 0.867 0.985 Te
```

Question: What is the formula in the seventh record?
Answer: NaLaNiGe